# 1
Computed, not measured: an optimized crystal structure of SbWSe at the PBE-GGA level of DFT.

Summary:
Energy above the most stable polymorph in this dataset in eV/atom: 0.1587
Magnetization in μB/atom: 0.000
Volume in Å³ per cell: 199.7
Uncorrected energy in eV/atom: -6.674

Cell lengths 6.648, 6.648, 6.238 Å; angles 103.12, 103.12, 48.40 degrees
Positions (direct):
Sb: 0.000 0.000 0.000
Sb: 0.534 0.534 0.293
Sb: 0.634 0.634 0.851
W: 0.068 0.582 0.121
W: 0.144 0.144 0.729
W: 0.582 0.068 0.121
Se: 0.196 0.196 0.332
Se: 0.353 0.353 0.799
Se: 0.911 0.911 0.486

***

# 2
Computed, not measured: an optimized crystal structure of SbW2Se2 at the PBE-GGA level of DFT.

Summary:
Magnetization in μB/atom: 0.000
Volume in Å³ per cell: 100.5
Uncorrected energy in eV/atom: -6.884

Cell lengths 5.848, 5.848, 5.848 Å; angles 134.39, 134.39, 66.48 degrees
Positions (direct):
Sb: 0.000 0.000 0.000
W: 0.250 0.750 0.500
W: 0.750 0.250 0.500
Se: 0.360 0.360 0.000
Se: 0.640 0.640 0.000

***

# 3
Computed, not measured: an optimized crystal structure of Sb2WSe at the PBE-GGA level of DFT.

Summary:
Magnetization in μB/atom: 0.000
Volume in Å³ per cell: 93.0
Uncorrected energy in eV/atom: -6.042

Cell lengths 9.548, 9.548, 9.548 Å; angles 20.45, 20.45, 20.45 degrees
Positions (direct):
Sb: 0.000 0.000 0.000
Sb: 0.244 0.244 0.244
W: 0.738 0.738 0.738
Se: 0.463 0.463 0.463

***

# 4
Computed, not measured: an optimized crystal structure of Sb2WSe at the PBE-GGA level of DFT.

Summary:
Magnetization in μB/atom: 0.304
Volume in Å³ per cell: 84.8
Uncorrected energy in eV/atom: -5.365

Cell lengths 5.143, 5.143, 3.208 Å; angles 90.00, 90.00, 90.00 degrees
Positions (direct):
Sb: 0.000 0.500 0.000
Sb: 0.500 0.000 0.000
W: 0.000 0.000 0.500
Se: 0.500 0.500 0.500

***

# 5
Computed, not measured: an optimized crystal structure of SbW2Se at the PBE-GGA level of DFT.

Summary:
Energy above the most stable polymorph in this dataset in eV/atom: 0.5999
Magnetization in μB/atom: 0.000
Volume in Å³ per cell: 71.8
Uncorrected energy in eV/atom: -7.619

Cell lengths 4.957, 4.957, 4.957 Å; angles 128.92, 128.92, 75.14 degrees
Positions (direct):
Sb: 0.000 0.000 0.000
W: 0.500 0.500 0.000
W: 0.750 0.250 0.500
Se: 0.250 0.750 0.500

***

# 6
Computed, not measured: an optimized crystal structure of SbWSe at the PBE-GGA level of DFT.

Summary:
Energy above the most stable polymorph in this dataset in eV/atom: 0.5088
Magnetization in μB/atom: 0.581
Volume in Å³ per cell: 68.9
Uncorrected energy in eV/atom: -6.324

Cell lengths 4.603, 4.603, 4.603 Å; angles 60.00, 60.00, 60.00 degrees
Positions (direct):
Sb: 0.000 0.000 0.000
W: 0.750 0.750 0.750
Se: 0.500 0.500 0.500

***

# 7
Computed, not measured: an optimized crystal structure of Sb2WSe at the PBE-GGA level of DFT.

Summary:
Magnetization in μB/atom: 0.000
Volume in Å³ per cell: 95.3
Uncorrected energy in eV/atom: -6.001

Cell lengths 4.794, 4.794, 6.682 Å; angles 107.04, 107.04, 40.80 degrees
Positions (direct):
Sb: 0.000 0.000 0.000
Sb: 0.196 0.196 0.714
W: 0.639 0.639 0.355
Se: 0.350 0.350 0.353

***

# 8
Computed, not measured: an optimized crystal structure of SbWSe at the PBE-GGA level of DFT.

Summary:
Energy above the most stable polymorph in this dataset in eV/atom: 1.1999
Magnetization in μB/atom: 0.137
Volume in Å³ per cell: 65.7
Uncorrected energy in eV/atom: -5.632

Cell lengths 4.529, 4.529, 4.529 Å; angles 60.00, 60.00, 60.00 degrees
Positions (direct):
Sb: 0.000 0.000 0.000
W: 0.500 0.500 0.500
Se: 0.750 0.750 0.750

***

# 9
Computed, not measured: an optimized crystal structure of SbW2Se at the PBE-GGA level of DFT.

Summary:
Energy above the most stable polymorph in this dataset in eV/atom: 0.4920
Magnetization in μB/atom: 0.000
Volume in Å³ per cell: 71.0
Uncorrected energy in eV/atom: -7.727

Cell lengths 4.590, 3.100, 5.396 Å; angles 90.00, 112.47, 90.00 degrees
Positions (direct):
Sb: 0.000 0.000 0.000
W: 0.500 0.000 0.500
W: 0.500 0.500 0.000
Se: 0.000 0.500 0.500

***

# 10
Computed, not measured: an optimized crystal structure of SbW2Se at the PBE-GGA level of DFT.

Summary:
Energy above the most stable polymorph in this dataset in eV/atom: 0.7901
Magnetization in μB/atom: 0.000
Volume in Å³ per cell: 73.4
Uncorrected energy in eV/atom: -7.428

Cell lengths 3.104, 4.501, 5.257 Å; angles 90.00, 90.00, 90.00 degrees
Positions (direct):
Sb: 0.000 0.000 0.000
W: 0.000 0.500 0.500
W: 0.500 0.500 0.000
Se: 0.500 0.000 0.500

***

# 11
Computed, not measured: an optimized crystal structure of SbWSe at the PBE-GGA level of DFT.

Summary:
Energy above the most stable polymorph in this dataset in eV/atom: 0.4738
Magnetization in μB/atom: 0.002
Volume in Å³ per cell: 58.4
Uncorrected energy in eV/atom: -6.359

Cell lengths 4.528, 4.528, 3.289 Å; angles 90.00, 90.00, 120.00 degrees
Positions (direct):
Sb: 0.000 0.000 0.000
W: 0.333 0.667 0.500
Se: 0.667 0.333 0.500

***

# 12
Computed, not measured: an optimized crystal structure of SbW2Se at the PBE-GGA level of DFT.

Summary:
Energy above the most stable polymorph in this dataset in eV/atom: 0.2788
Magnetization in μB/atom: 0.000
Volume in Å³ per cell: 74.9
Uncorrected energy in eV/atom: -7.940

Cell lengths 4.794, 4.794, 5.302 Å; angles 103.41, 103.41, 39.37 degrees
Positions (direct):
Sb: 0.000 0.000 0.000
W: 0.493 0.493 0.528
W: 0.757 0.757 0.236
Se: 0.224 0.224 0.599